Pm2ThIn after structural relaxation. Source: Alexandria, functional PBE.

Structure (POSCAR):
```
Pm2ThIn
1.0
3.469 0.000 0.000
-1.734 3.004 0.000
0.000 0.000 36.566
Pm Th In
6 3 3
Cartesian
0.000 0.000 3.433 Pm
0.000 0.000 33.132 Pm
0.000 2.003 20.944 Pm
0.000 2.003 27.811 Pm
1.734 1.001 8.755 Pm
1.734 1.001 15.622 Pm
0.000 0.000 0.000 Th
0.000 2.003 24.377 Th
1.734 1.001 12.189 Th
0.000 0.000 18.283 In
0.000 2.003 6.094 In
1.734 1.001 30.471 In
```

Calculated values
- energy relative to the elements (eV per atom) = 0.07
- V (Å³/cell) = 381.0

***

RbNa6In6 after structural relaxation. Source: Alexandria, functional PBE.

Structure (POSCAR):
```
RbNa6In6
1.0
-3.242 5.475 5.653
3.242 -5.475 5.653
3.242 5.475 -5.653
Rb Na In
1 6 6
Cartesian
0.000 0.000 0.000 Rb
3.242 2.127 0.000 Na
0.000 0.000 3.819 Na
0.000 3.808 0.000 Na
0.000 7.143 0.000 Na
0.000 0.000 7.487 Na
0.000 3.349 5.653 Na
1.621 2.738 -2.826 In
1.621 -2.738 2.826 In
3.242 0.000 2.671 In
-1.621 2.738 2.826 In
1.621 2.738 2.826 In
0.000 5.475 2.982 In
```

Calculated values
- energy relative to the elements (eV per atom) = -0.10
- V (Å³/cell) = 401.4

***

Copy entry 2 word for word.
RbNa6In6 after structural relaxation. Source: Alexandria, functional PBE.

Structure (POSCAR):
```
RbNa6In6
1.0
-3.242 5.475 5.653
3.242 -5.475 5.653
3.242 5.475 -5.653
Rb Na In
1 6 6
Cartesian
0.000 0.000 0.000 Rb
3.242 2.127 0.000 Na
0.000 0.000 3.819 Na
0.000 3.808 0.000 Na
0.000 7.143 0.000 Na
0.000 0.000 7.487 Na
0.000 3.349 5.653 Na
1.621 2.738 -2.826 In
1.621 -2.738 2.826 In
3.242 0.000 2.671 In
-1.621 2.738 2.826 In
1.621 2.738 2.826 In
0.000 5.475 2.982 In
```

Calculated values
- energy relative to the elements (eV per atom) = -0.10
- V (Å³/cell) = 401.4